Entry 1:
SbRu, relaxed, DFT PBE-GGA; raw formation energy = 0.3059 eV per atom; size of the total moment = 0.00 μB/cell; space group = No. 141
1.0
3.834 0.000 0.000
0.000 3.834 0.000
0.000 0.000 9.831
Sb Ru
4 4
Cartesian
0.000 0.958 3.687
0.000 2.875 6.145
1.917 0.958 1.229
1.917 2.875 8.602
0.000 0.958 8.602
0.000 2.875 1.229
1.917 0.958 6.145
1.917 2.875 3.687

---

Entry 2:
SbRu, relaxed, DFT PBE-GGA; raw formation energy = 0.5046 eV per atom; size of the total moment = 0.00 μB/cell; space group = No. 136
1.0
7.187 0.000 0.000
0.000 7.187 0.000
0.000 0.000 4.132
Sb Ru
4 4
Cartesian
1.512 1.512 0.000
2.081 5.106 2.066
5.106 2.081 2.066
5.675 5.675 0.000
1.030 6.157 0.000
2.564 2.564 2.066
4.624 4.624 2.066
6.157 1.030 0.000

---

Entry 3:
Sb5Ru, relaxed, DFT PBE-GGA; raw formation energy = 0.0670 eV per atom; size of the total moment = 0.84 μB/cell; space group = No. 8; relative energy among the computed polymorphs = 0.0157 eV/atom
1.0
13.634 0.000 0.000
0.000 3.408 0.000
-2.738 0.000 7.399
Sb Ru
10 2
Cartesian
0.000 0.000 0.000
-1.450 0.000 4.773
1.191 1.704 2.391
1.238 0.000 5.795
3.559 0.000 1.404
6.817 1.704 0.000
5.367 1.704 4.773
8.008 0.000 2.391
8.055 1.704 5.795
10.376 1.704 1.404
-0.586 1.704 7.143
6.231 0.000 7.143

---

Entry 4:
SbRu3, relaxed, DFT PBE-GGA; raw formation energy = 0.2277 eV per atom; size of the total moment = 0.00 μB/cell; space group = No. 25
1.0
2.917 0.000 0.000
0.000 4.452 0.000
0.000 0.000 4.766
Sb Ru
1 3
Cartesian
0.000 0.000 0.000
0.000 2.226 3.076
1.458 0.000 2.373
1.458 2.226 0.767

---

Entry 5:
SbRu, relaxed, DFT PBE-GGA; raw formation energy = 0.1130 eV per atom; size of the total moment = 0.00 μB/cell; space group = No. 129
1.0
3.116 0.000 0.000
0.000 3.116 0.000
0.000 0.000 8.227
Sb Ru
2 2
Cartesian
0.779 0.779 1.607
2.337 2.337 6.619
0.779 0.779 4.994
2.337 2.337 3.232

---

Entry 6:
Sb3Ru, relaxed, DFT PBE-GGA; raw formation energy = 0.1215 eV per atom; size of the total moment = 0.00 μB/cell; space group = No. 12; relative energy among the computed polymorphs = 0.1234 eV/atom
1.0
5.937 0.000 0.000
0.000 3.358 0.000
-1.716 0.000 9.395
Sb Ru
6 2
Cartesian
0.000 0.000 0.000
0.146 0.000 6.565
1.107 1.679 2.830
2.969 1.679 0.000
3.114 1.679 6.565
4.075 0.000 2.830
-0.858 1.679 4.697
2.110 0.000 4.697

---

Copy entry 4 word for word.
SbRu3, relaxed, DFT PBE-GGA; raw formation energy = 0.2277 eV per atom; size of the total moment = 0.00 μB/cell; space group = No. 25
1.0
2.917 0.000 0.000
0.000 4.452 0.000
0.000 0.000 4.766
Sb Ru
1 3
Cartesian
0.000 0.000 0.000
0.000 2.226 3.076
1.458 0.000 2.373
1.458 2.226 0.767

---

- What is the formula in the fifth record?
  SbRu